No. 1
Here is a relaxed structure of Cu4Ag from the Open Quantum Materials Database. Energies are from PBE-GGA.

abc: 4.548 2.681 10.805
angles: 90.00 97.50 90.00
Fractional coordinates of all 10 atoms:
1 Ag 0.552 0.250 0.389
2 Ag 0.448 0.750 0.611
3 Cu 0.248 0.750 0.003
4 Cu 0.653 0.750 0.185
5 Cu 0.139 0.250 0.192
6 Cu 0.049 0.750 0.394
7 Cu 0.951 0.250 0.606
8 Cu 0.861 0.750 0.808
9 Cu 0.347 0.250 0.815
10 Cu 0.752 0.250 0.997

## Properties
energy of formation = 77 meV/atom
crystal system = monoclinic
offset from the most stable computed form = 0.033 eV per atom

***

No. 2
Here is a relaxed structure of DyScAg6 from the Open Quantum Materials Database. Energies are from PBE-GGA.

abc: 4.949 6.063 5.116
angles: 90.00 90.00 90.00
Fractional coordinates of all 8 atoms:
1 Ag 0.500 0.500 0.182
2 Ag 0.000 0.238 0.336
3 Ag 0.000 0.762 0.336
4 Ag 0.500 0.244 0.660
5 Ag 0.500 0.756 0.660
6 Ag 0.000 0.000 0.833
7 Dy 0.000 0.500 0.842
8 Sc 0.500 0.000 0.153

## Properties
energy of formation = -244 meV/atom
crystal system = orthorhombic

***

No. 3
Here is a relaxed structure of SrHfAs from the Open Quantum Materials Database. Energies are from PBE-GGA.

abc: 4.822 4.822 4.822
angles: 60.00 60.00 60.00
Fractional coordinates of all 3 atoms:
1 As 0.000 0.000 0.000
2 Hf 0.250 0.250 0.250
3 Sr 0.750 0.750 0.750

## Properties
crystal system = cubic
offset from the most stable computed form = 0.000 eV per atom

***

No. 4
Here is a relaxed structure of Tl2Hg2Te3 from the Open Quantum Materials Database. Energies are from PBE-GGA.

abc: 7.147 7.147 7.147
angles: 54.88 54.88 54.88
Fractional coordinates of all 7 atoms:
1 Hg 0.327 0.327 0.327
2 Hg 0.673 0.673 0.673
3 Te 0.500 0.000 0.000
4 Te 0.000 0.500 0.000
5 Te 0.000 0.000 0.500
6 Tl 0.000 0.000 0.000
7 Tl 0.500 0.500 0.500

## Properties
crystal system = trigonal
offset from the most stable computed form = 0.057 eV per atom

***

No. 5
Here is a relaxed structure of ZnPdW2 from the Open Quantum Materials Database. Energies are from PBE-GGA.

abc: 4.451 4.451 4.451
angles: 60.00 60.00 60.00
Fractional coordinates of all 4 atoms:
1 Pd 0.500 0.500 0.500
2 W 0.000 0.000 0.000
3 W 0.750 0.750 0.750
4 Zn 0.250 0.250 0.250

## Properties
energy of formation = 287 meV/atom
crystal system = cubic

***

No. 6
Here is a relaxed structure of HfZn from the Open Quantum Materials Database. Energies are from PBE-GGA.

abc: 5.166 7.950 4.777
angles: 90.00 90.00 71.09
Fractional coordinates of all 10 atoms:
1 Hf 0.833 0.395 0.000
2 Hf 0.216 0.600 0.000
3 Hf 0.628 0.805 0.000
4 Hf 0.442 0.396 0.500
5 Hf 0.237 0.804 0.500
6 Zn 0.007 0.006 0.000
7 Zn 0.413 0.194 0.000
8 Zn 0.649 0.008 0.500
9 Zn 0.057 0.192 0.500
10 Zn 0.851 0.600 0.500

## Properties
energy of formation = 11 meV/atom
crystal system = monoclinic

***

| no. | mass density (g cm⁻³) | uncorrected energy (eV per atom) |
| --- | --- | --- |
| 1 | 9.2 | -3.461 |
| 2 | 9.2 | -3.728 |
| 3 | 7.1 | -5.467 |
| 4 | 8.7 | -2.134 |
| 5 | 14.4 | -7.803 |
| 6 | 10.9 | -5.599 |